Entry 1:
The following is a DFT calculation (meta-GGA SCAN) of a crystal of DyGa3 relaxed with PBEsol.

Cell: 6.095 6.095 9.783 Å, 71.85 71.85 60.00°
Fractional positions:
Dy 0.131 0.131 0.608
Dy 0.288 0.288 0.136
Dy 0.869 0.869 0.392
Dy 0.712 0.712 0.864
Ga 0.832 0.398 0.372
Ga 0.398 0.398 0.372
Ga 0.205 0.205 0.874
Ga 0.168 0.602 0.628
Ga 0.715 0.205 0.874
Ga 0.602 0.602 0.628
Ga 0.602 0.168 0.628
Ga 0.795 0.795 0.126
Ga 0.205 0.715 0.874
Ga 0.398 0.832 0.372
Ga 0.285 0.795 0.126
Ga 0.795 0.285 0.126


Entry 2:
The following is a DFT calculation (meta-GGA SCAN) of a crystal of Dy5Ga3 relaxed with PBEsol.

Cell: 7.481 7.481 8.764 Å, 115.27 115.27 90.00°
Fractional positions:
Dy 0.522 0.681 0.703
Dy 0.319 0.819 0.297
Dy 0.681 0.181 0.703
Dy 0.181 0.022 0.703
Dy 0.478 0.319 0.297
Dy 0.500 0.500 0.000
Dy 0.022 0.522 0.703
Dy 0.978 0.478 0.297
Dy 0.000 0.000 0.000
Dy 0.819 0.978 0.297
Ga 0.750 0.750 0.500
Ga 0.621 0.121 0.000
Ga 0.879 0.621 0.000
Ga 0.379 0.879 0.000
Ga 0.250 0.250 0.500
Ga 0.121 0.379 0.000


Entry 3:
The following is a DFT calculation (meta-GGA SCAN) of a crystal of DyGa3 relaxed with PBEsol.

Cell: 4.195 4.195 4.195 Å, 90.00 90.00 90.00°
Fractional positions:
Ga 0.500 0.500 0.000
Ga 0.500 0.000 0.500
Ga 0.000 0.500 0.500
Dy 0.000 0.000 0.000


Entry 4:
The following is a DFT calculation (meta-GGA SCAN) of a crystal of DyGa2 relaxed with PBEsol.

Cell: 4.008 4.154 4.154 Å, 120.00 90.00 90.00°
Fractional positions:
Dy 0.000 0.000 0.000
Ga 0.500 0.667 0.333
Ga 0.500 0.333 0.667


Entry 5:
The following is a DFT calculation (meta-GGA SCAN) of a crystal of DyGa relaxed with PBEsol.

Cell: 3.990 4.275 5.785 Å, 68.32 90.00 90.00°
Fractional positions:
Dy 0.250 0.360 0.280
Dy 0.750 0.640 0.720
Ga 0.750 0.924 0.152
Ga 0.250 0.076 0.848


Entry 6:
The following is a DFT calculation (meta-GGA SCAN) of a crystal of Dy3Ga5 relaxed with PBEsol.

Cell: 6.003 9.526 11.290 Å, 90.00 90.00 90.00°
Fractional positions:
Ga 0.126 0.553 0.090
Ga 0.626 0.053 0.410
Ga 0.327 0.750 0.248
Ga 0.900 0.750 0.200
Ga 0.626 0.447 0.410
Ga 0.126 0.947 0.090
Ga 0.868 0.250 0.505
Ga 0.173 0.750 0.748
Ga 0.874 0.053 0.910
Ga 0.132 0.750 0.495
Ga 0.100 0.250 0.800
Ga 0.874 0.447 0.910
Ga 0.400 0.250 0.300
Ga 0.368 0.750 0.995
Ga 0.600 0.750 0.700
Ga 0.632 0.250 0.005
Ga 0.374 0.947 0.590
Ga 0.374 0.553 0.590
Ga 0.827 0.250 0.252
Ga 0.673 0.250 0.752
Dy 0.890 0.509 0.648
Dy 0.846 0.750 0.926
Dy 0.610 0.991 0.148
Dy 0.390 0.009 0.852
Dy 0.654 0.750 0.426
Dy 0.110 0.009 0.352
Dy 0.610 0.509 0.148
Dy 0.390 0.491 0.852
Dy 0.890 0.991 0.648
Dy 0.346 0.250 0.574
Dy 0.154 0.250 0.074
Dy 0.110 0.491 0.352


Entry 7:
The following is a DFT calculation (meta-GGA SCAN) of a crystal of Dy3Ga2 relaxed with PBEsol.

Cell: 10.903 10.903 10.903 Å, 95.51 116.87 116.87°
Fractional positions:
Ga 0.000 0.250 0.250
Ga 0.855 0.880 0.380
Ga 0.855 0.475 0.975
Ga 0.500 0.025 0.880
Ga 0.734 0.117 0.617
Ga 0.000 0.000 0.000
Ga 0.500 0.383 0.117
Ga 0.500 0.975 0.120
Ga 0.500 0.617 0.883
Ga 0.000 0.500 0.500
Ga 0.500 0.620 0.475
Ga 0.000 0.750 0.750
Ga 0.500 0.380 0.525
Ga 0.145 0.525 0.025
Ga 0.266 0.883 0.383
Ga 0.145 0.120 0.620
Dy 0.268 0.701 0.836
Dy 0.500 0.169 0.331
Dy 0.500 0.148 0.648
Dy 0.865 0.932 0.664
Dy 0.268 0.432 0.567
Dy 0.865 0.201 0.933
Dy 0.500 0.352 0.852
Dy 0.500 0.852 0.352
Dy 0.162 0.331 0.831
Dy 0.732 0.933 0.068
Dy 0.865 0.164 0.432
Dy 0.732 0.568 0.433
Dy 0.268 0.067 0.932
Dy 0.865 0.433 0.701
Dy 0.838 0.669 0.169
Dy 0.135 0.567 0.299
Dy 0.135 0.799 0.067
Dy 0.135 0.836 0.568
Dy 0.500 0.648 0.148
Dy 0.500 0.831 0.669
Dy 0.135 0.068 0.336
Dy 0.268 0.336 0.201
Dy 0.732 0.299 0.164
Dy 0.732 0.664 0.799


Entry 8:
The following is a DFT calculation (meta-GGA SCAN) of a crystal of DyMgGa relaxed with PBEsol.

Cell: 4.380 7.184 7.184 Å, 120.00 90.00 90.00°
Fractional positions:
Dy 0.500 0.000 0.574
Dy 0.500 0.426 0.426
Dy 0.500 0.574 0.000
Ga 0.000 0.333 0.667
Ga 0.000 0.667 0.333
Ga 0.500 0.000 0.000
Mg 0.000 0.244 0.000
Mg 0.000 0.756 0.756
Mg 0.000 0.000 0.244


Entry 9:
The following is a DFT calculation (meta-GGA SCAN) of a crystal of Dy2MgGa relaxed with PBEsol.

Cell: 5.083 5.083 5.083 Å, 60.00 60.00 60.00°
Fractional positions:
Ga 0.000 0.000 0.000
Dy 0.750 0.750 0.750
Dy 0.250 0.250 0.250
Mg 0.500 0.500 0.500


Entry 10:
The following is a DFT calculation (meta-GGA SCAN) of a crystal of DyGa3Ni2 relaxed with PBEsol.

Cell: 3.950 5.138 5.138 Å, 120.00 90.00 90.00°
Fractional positions:
Ga 0.500 0.500 0.500
Ga 0.500 0.000 0.500
Ga 0.500 0.500 0.000
Dy 0.000 0.000 0.000
Ni 0.000 0.333 0.667
Ni 0.000 0.667 0.333


Entry 11:
The following is a DFT calculation (meta-GGA SCAN) of a crystal of Dy6GaNi2 relaxed with PBEsol.

Cell: 8.164 8.164 8.164 Å, 74.02 70.43 112.94°
Fractional positions:
Dy 0.695 0.735 0.570
Dy 0.032 0.213 0.181
Dy 0.193 0.867 0.326
Dy 0.305 0.265 0.430
Dy 0.968 0.787 0.819
Dy 0.305 0.735 0.960
Dy 0.193 0.520 0.674
Dy 0.606 0.787 0.181
Dy 0.807 0.133 0.674
Dy 0.695 0.265 0.040
Dy 0.394 0.213 0.819
Dy 0.807 0.480 0.326
Ga 0.500 0.500 0.000
Ga 0.500 0.000 0.500
Ni 0.151 0.500 0.349
Ni 0.000 0.123 0.877
Ni 0.000 0.877 0.123
Ni 0.849 0.500 0.651


Entry 12:
The following is a DFT calculation (meta-GGA SCAN) of a crystal of Dy3Ga2Ni6 relaxed with PBEsol.

Cell: 7.568 7.568 7.568 Å, 109.47 109.47 109.47°
Fractional positions:
Dy 0.000 0.710 0.710
Dy 0.290 0.290 0.000
Dy 0.290 0.000 0.290
Dy 0.710 0.000 0.710
Dy 0.000 0.290 0.290
Dy 0.710 0.710 0.000
Ga 0.500 0.500 0.500
Ga 0.000 0.000 0.500
Ga 0.500 0.000 0.000
Ga 0.000 0.500 0.000
Ni 0.661 0.339 0.000
Ni 0.339 0.339 0.677
Ni 0.339 0.661 0.000
Ni 0.661 0.323 0.661
Ni 0.339 0.000 0.661
Ni 0.000 0.661 0.339
Ni 0.000 0.339 0.661
Ni 0.661 0.000 0.339
Ni 0.661 0.661 0.323
Ni 0.323 0.661 0.661
Ni 0.339 0.677 0.339
Ni 0.677 0.339 0.339


Entry 13:
The following is a DFT calculation (meta-GGA SCAN) of a crystal of DyGaNi relaxed with PBEsol.

Cell: 4.220 6.706 7.245 Å, 90.00 90.00 90.00°
Fractional positions:
Dy 0.750 0.478 0.692
Dy 0.750 0.978 0.808
Dy 0.250 0.022 0.192
Dy 0.250 0.522 0.308
Ni 0.750 0.714 0.100
Ni 0.250 0.786 0.600
Ni 0.250 0.286 0.900
Ni 0.750 0.214 0.400
Ga 0.250 0.668 0.925
Ga 0.750 0.832 0.425
Ga 0.250 0.168 0.575
Ga 0.750 0.332 0.075


Entry 14:
The following is a DFT calculation (meta-GGA SCAN) of a crystal of Dy2GaNi2 relaxed with PBEsol.

Cell: 4.145 5.243 5.243 Å, 60.11 66.72 66.72°
Fractional positions:
Ga 0.000 0.000 0.000
Dy 0.798 0.702 0.702
Dy 0.202 0.298 0.298
Ni 0.500 0.267 0.733
Ni 0.500 0.733 0.267


Entry 15:
The following is a DFT calculation (meta-GGA SCAN) of a crystal of Dy3GaNiS7 relaxed with PBEsol.

Calculated values
raw formation energy	-1.73	eV/atom

Cell: 6.097 9.374 9.374 Å, 120.00 90.00 90.00°
Fractional positions:
S 0.268 0.103 0.232
S 0.449 0.559 0.478
S 0.268 0.768 0.871
S 0.949 0.478 0.918
S 0.470 0.333 0.667
S 0.268 0.129 0.897
S 0.768 0.232 0.129
S 0.949 0.441 0.522
S 0.949 0.082 0.559
S 0.768 0.871 0.103
S 0.768 0.897 0.768
S 0.449 0.522 0.082
S 0.449 0.918 0.441
S 0.970 0.667 0.333
Dy 0.178 0.375 0.213
Dy 0.678 0.213 0.838
Dy 0.178 0.838 0.625
Dy 0.678 0.625 0.787
Dy 0.178 0.787 0.162
Dy 0.678 0.162 0.375
Ni 0.008 0.000 0.000
Ni 0.508 0.000 0.000
Ga 0.104 0.333 0.667
Ga 0.604 0.667 0.333


Entry 16:
The following is a DFT calculation (meta-GGA SCAN) of a crystal of DyGaO3 relaxed with PBEsol.

Calculated values
raw formation energy	-3.02	eV/atom

Cell: 5.232 5.541 7.523 Å, 90.00 90.00 90.00°
Fractional positions:
O 0.694 0.196 0.556
O 0.194 0.304 0.444
O 0.306 0.804 0.056
O 0.110 0.036 0.750
O 0.194 0.304 0.056
O 0.806 0.696 0.944
O 0.610 0.464 0.250
O 0.806 0.696 0.556
O 0.306 0.804 0.444
O 0.890 0.964 0.250
O 0.694 0.196 0.944
O 0.390 0.536 0.750
Dy 0.480 0.070 0.250
Dy 0.020 0.570 0.250
Dy 0.520 0.930 0.750
Dy 0.980 0.430 0.750
Ga 0.000 0.000 0.500
Ga 0.000 0.000 0.000
Ga 0.500 0.500 0.500
Ga 0.500 0.500 0.000


Entry 17:
The following is a DFT calculation (meta-GGA SCAN) of a crystal of DyGaO3 relaxed with PBEsol.

Calculated values
raw formation energy	-3.01	eV/atom

Cell: 6.040 6.040 11.585 Å, 90.00 90.00 120.00°
Fractional positions:
Dy 0.667 0.333 0.271
Dy 0.333 0.667 0.771
Dy 0.000 0.000 0.228
Dy 0.667 0.333 0.771
Dy 0.000 0.000 0.728
Dy 0.333 0.667 0.271
Ga 0.666 0.666 0.003
Ga 0.334 0.000 0.003
Ga 0.666 0.000 0.503
Ga 0.000 0.666 0.503
Ga 0.334 0.334 0.503
Ga 0.000 0.334 0.003
O 0.694 0.694 0.840
O 0.000 0.000 0.526
O 0.333 0.667 0.984
O 0.333 0.667 0.484
O 0.639 0.639 0.165
O 0.000 0.361 0.165
O 0.361 0.000 0.165
O 0.694 0.000 0.340
O 0.000 0.639 0.665
O 0.000 0.694 0.340
O 0.639 0.000 0.665
O 0.306 0.306 0.340
O 0.667 0.333 0.984
O 0.000 0.000 0.026
O 0.667 0.333 0.484
O 0.000 0.306 0.840
O 0.361 0.361 0.665
O 0.306 0.000 0.840


Entry 18:
The following is a DFT calculation (meta-GGA SCAN) of a crystal of DyGaPd2 relaxed with PBEsol.

Cell: 5.513 7.059 7.228 Å, 90.00 90.00 90.00°
Fractional positions:
Pd 0.088 0.051 0.184
Pd 0.912 0.551 0.816
Pd 0.412 0.051 0.684
Pd 0.912 0.949 0.816
Pd 0.412 0.449 0.684
Pd 0.588 0.551 0.316
Pd 0.588 0.949 0.316
Pd 0.088 0.449 0.184
Ga 0.857 0.750 0.115
Ga 0.643 0.750 0.615
Ga 0.357 0.250 0.385
Ga 0.143 0.250 0.885
Dy 0.357 0.750 0.971
Dy 0.143 0.750 0.471
Dy 0.643 0.250 0.029
Dy 0.857 0.250 0.529


In eV/atom, the total DFT energy (no corrections) values for the records above are, in order, -24.8316; -36.5775; -24.8099; -27.6105; -32.8037; -28.9028; -35.8434; -23.5989; -29.6052; -22.1762; -37.6754; -25.4127; -27.4919; -29.4915; -22.0054; -19.5881; -19.5782; -33.3993.